# 1
{"formula": "Ni", "functional": "meta-GGA SCAN", "state": "single point on PBEsol structure", "relative_energy_mev_per_atom": 129, "magmom_total_mub_per_cell": 0.63, "lattice": [[-2.1304, 0.3782, -1.0037], [0.0203, -2.1479, 1.0370], [0.4147, 1.6796, 1.6420]], "species": ["Ni"], "frac_coords": [[0.0000, 0.0000, 0.0000]]}

=====

# 2
{"formula": "Ni", "functional": "meta-GGA SCAN", "state": "single point on PBEsol structure", "relative_energy_mev_per_atom": 5, "magmom_total_mub_per_cell": 2.31, "lattice": [[2.4464, 0.0000, 0.0000], [1.2232, 2.1186, 0.0000], [1.2232, 0.7062, 6.0081]], "species": ["Ni", "Ni", "Ni"], "frac_coords": [[0.0000, 0.0000, 0.0000], [0.2225, 0.2225, 0.3325], [0.7775, 0.7775, 0.6675]]}

=====

# 3
{"formula": "Ni", "functional": "meta-GGA SCAN", "state": "single point on PBEsol structure", "relative_energy_mev_per_atom": 0, "magmom_total_mub_per_cell": 0.77, "lattice": [[-0.2314, 0.3346, 2.4117], [-2.0429, -0.7091, 1.1425], [0.0484, -1.9221, 1.5115]], "species": ["Ni"], "frac_coords": [[0.5000, 0.5000, 0.5000]]}

=====

# 4
{"formula": "Ni4O", "functional": "meta-GGA SCAN", "state": "single point on PBEsol structure", "e_form_raw_ev_per_atom": -0.071, "magmom_total_mub_per_cell": 1.88, "lattice": [[3.6969, 0.0000, 0.0000], [0.0000, 3.6969, 0.0000], [0.0000, 0.0000, 3.6969]], "species": ["Ni", "Ni", "Ni", "Ni", "O"], "frac_coords": [[0.0000, 0.0000, 0.0000], [0.5000, 0.5000, 0.0000], [0.5000, 0.0000, 0.5000], [0.0000, 0.5000, 0.5000], [0.5000, 0.5000, 0.5000]]}

=====

# 5
{"formula": "Ni9O10", "functional": "meta-GGA SCAN", "state": "single point on PBEsol structure", "e_form_raw_ev_per_atom": -1.235, "magmom_total_mub_per_cell": 3.96, "lattice": [[-0.9005, 4.9062, -0.2732], [-1.1165, -2.2009, -5.2111], [-5.2324, -1.5717, 3.3802]], "species": ["Ni", "Ni", "Ni", "Ni", "Ni", "Ni", "Ni", "Ni", "Ni", "O", "O", "O", "O", "O", "O", "O", "O", "O", "O"], "frac_coords": [[0.1978, 0.8909, 0.3898], [0.2015, 0.4038, 0.3903], [0.5995, 0.6944, 0.1916], [0.6186, 0.2084, 0.1965], [0.0000, 0.0000, 0.0000], [0.3814, 0.7916, 0.8035], [0.7985, 0.5962, 0.6097], [0.4005, 0.3056, 0.8084], [0.8022, 0.1091, 0.6102], [0.4914, 0.2492, 0.5096], [0.5086, 0.7508, 0.4904], [0.9032, 0.0490, 0.2945], [0.8930, 0.5541, 0.3222], [0.3260, 0.8739, 0.1126], [0.3251, 0.3462, 0.1080], [0.6749, 0.6538, 0.8920], [0.6740, 0.1261, 0.8874], [0.0968, 0.9510, 0.7055], [0.1070, 0.4459, 0.6778]]}

=====

# 6
{"formula": "Ni5O6", "functional": "meta-GGA SCAN", "state": "single point on PBEsol structure", "e_form_raw_ev_per_atom": -1.224, "magmom_total_mub_per_cell": 0.01, "lattice": [[-1.4065, -3.2660, 3.4685], [-2.0407, -0.2952, -4.5192], [4.5993, -1.6508, -0.9792]], "species": ["Ni", "Ni", "Ni", "Ni", "Ni", "O", "O", "O", "O", "O", "O"], "frac_coords": [[0.6601, 0.3399, 0.5000], [0.3399, 0.6601, 0.5000], [0.1706, 0.8294, 0.0000], [0.0000, 0.0000, 0.5000], [0.8294, 0.1706, 0.0000], [0.2435, 0.2435, 0.2841], [0.7565, 0.7565, 0.7159], [0.9664, 0.6017, 0.2579], [0.6017, 0.9664, 0.2579], [0.0336, 0.3983, 0.7421], [0.3983, 0.0336, 0.7421]]}

=====

# 7
{"formula": "Ni4P2O9", "functional": "meta-GGA SCAN", "state": "single point on PBEsol structure", "e_form_raw_ev_per_atom": -1.875, "relative_energy_mev_per_atom": 0, "magmom_total_mub_per_cell": 31.84, "lattice": [[6.3858, -0.0199, 0.0000], [-2.5137, 8.7339, 0.0000], [0.0000, 0.0000, 10.8998]], "species": ["Ni", "Ni", "Ni", "Ni", "Ni", "Ni", "Ni", "Ni", "Ni", "Ni", "Ni", "Ni", "Ni", "Ni", "Ni", "Ni", "P", "P", "P", "P", "P", "P", "P", "P", "O", "O", "O", "O", "O", "O", "O", "O", "O", "O", "O", "O", "O", "O", "O", "O", "O", "O", "O", "O", "O", "O", "O", "O", "O", "O", "O", "O", "O", "O", "O", "O", "O", "O", "O", "O"], "frac_coords": [[0.0893, 0.8908, 0.5939], [0.0893, 0.3908, 0.9061], [0.2201, 0.7490, 0.3799], [0.1863, 0.5408, 0.5993], [0.2201, 0.2490, 0.1201], [0.1863, 0.0408, 0.9007], [0.4488, 0.6766, 0.1314], [0.5512, 0.8234, 0.6314], [0.4488, 0.1766, 0.3686], [0.5512, 0.3234, 0.8686], [0.8137, 0.9592, 0.0993], [0.7799, 0.7510, 0.8799], [0.8137, 0.4592, 0.4007], [0.7799, 0.2510, 0.6201], [0.9107, 0.6092, 0.0939], [0.9107, 0.1092, 0.4061], [0.2823, 0.9174, 0.1692], [0.2561, 0.6896, 0.8666], [0.2823, 0.4174, 0.3308], [0.2561, 0.1896, 0.6334], [0.7439, 0.8104, 0.3666], [0.7177, 0.5826, 0.6692], [0.7439, 0.3104, 0.1334], [0.7177, 0.0826, 0.8308], [0.1148, 0.8002, 0.8890], [0.1452, 0.7458, 0.1860], [0.1444, 0.5556, 0.7779], [0.2662, 0.7657, 0.5578], [0.1541, 0.5100, 0.4076], [0.3207, 0.9683, 0.3051], [0.1148, 0.3002, 0.6110], [0.2624, 0.5956, 0.9860], [0.1452, 0.2458, 0.3140], [0.1444, 0.0556, 0.7221], [0.2662, 0.2657, 0.9422], [0.1541, 0.0100, 0.0924], [0.3207, 0.4683, 0.1949], [0.4870, 0.9075, 0.0997], [0.2624, 0.0956, 0.5140], [0.4842, 0.7764, 0.8200], [0.5158, 0.7236, 0.3200], [0.5130, 0.5925, 0.5997], [0.4870, 0.4075, 0.4003], [0.4842, 0.2764, 0.6800], [0.5158, 0.2236, 0.1800], [0.7376, 0.9044, 0.4860], [0.5130, 0.0925, 0.9003], [0.6793, 0.5317, 0.8051], [0.8459, 0.9900, 0.9076], [0.7338, 0.7343, 0.0578], [0.8556, 0.9444, 0.2779], [0.8548, 0.7542, 0.6859], [0.7376, 0.4044, 0.0140], [0.8852, 0.6998, 0.3890], [0.6793, 0.0317, 0.6949], [0.8459, 0.4900, 0.5924], [0.7338, 0.2343, 0.4422], [0.8556, 0.4444, 0.2221], [0.8548, 0.2542, 0.8141], [0.8852, 0.1998, 0.1110]]}

=====

# 8
{"formula": "Ni2PO5", "functional": "meta-GGA SCAN", "state": "single point on PBEsol structure", "e_form_raw_ev_per_atom": -1.833, "relative_energy_mev_per_atom": 0, "magmom_total_mub_per_cell": 6.00, "lattice": [[5.2730, 0.0000, 0.0000], [0.0000, 5.2730, 0.0000], [-2.6365, -2.6365, 5.8367]], "species": ["Ni", "Ni", "Ni", "Ni", "P", "P", "O", "O", "O", "O", "O", "O", "O", "O", "O", "O"], "frac_coords": [[0.1250, 0.8750, 0.2500], [0.1250, 0.8750, 0.7500], [0.6250, 0.8750, 0.7500], [0.1250, 0.3750, 0.2500], [0.5000, 0.5000, 0.0000], [0.7500, 0.2500, 0.5000], [0.8199, 0.0725, 0.6399], [0.3225, 0.5699, 0.1399], [0.2500, 0.7500, 0.5000], [0.8174, 0.5699, 0.1399], [0.4301, 0.1826, 0.8601], [0.8199, 0.5674, 0.6399], [0.9275, 0.1801, 0.3601], [0.4326, 0.1801, 0.3601], [0.0000, 0.0000, 0.0000], [0.4301, 0.6775, 0.8601]]}

=====

# 9
{"formula": "NiP3O9", "functional": "meta-GGA SCAN", "state": "single point on PBEsol structure", "e_form_raw_ev_per_atom": -2.029, "relative_energy_mev_per_atom": 81, "magmom_total_mub_per_cell": 4.12, "lattice": [[0.0353, 9.4985, 0.1145], [-2.7737, -3.3006, -8.2499], [-6.2279, -2.8113, 6.2890]], "species": ["Ni", "Ni", "Ni", "Ni", "P", "P", "P", "P", "P", "P", "P", "P", "P", "P", "P", "P", "O", "O", "O", "O", "O", "O", "O", "O", "O", "O", "O", "O", "O", "O", "O", "O", "O", "O", "O", "O", "O", "O", "O", "O", "O", "O", "O", "O", "O", "O", "O", "O", "O", "O", "O", "O"], "frac_coords": [[0.7549, 0.2238, 0.2735], [0.9098, 0.7065, 0.8071], [0.2451, 0.7762, 0.7265], [0.0902, 0.2935, 0.1929], [0.3149, 0.4673, 0.5935], [0.0643, 0.8135, 0.1854], [0.5873, 0.3685, 0.7221], [0.0139, 0.3961, 0.6470], [0.5011, 0.1561, 0.9114], [0.8218, 0.9150, 0.0629], [0.1782, 0.0850, 0.9371], [0.9861, 0.6039, 0.3530], [0.6851, 0.5327, 0.4065], [0.4989, 0.8439, 0.0886], [0.4127, 0.6315, 0.2779], [0.9357, 0.1865, 0.8146], [0.3502, 0.8219, 0.9485], [0.7835, 0.0434, 0.6632], [0.2320, 0.4754, 0.1701], [0.5618, 0.3133, 0.8698], [0.0000, 0.6306, 0.1980], [0.8590, 0.2503, 0.4876], [0.0000, 0.3694, 0.8020], [0.5350, 0.5464, 0.2941], [0.3622, 0.6539, 0.6542], [0.8332, 0.8713, 0.8996], [0.7460, 0.6449, 0.5908], [0.4650, 0.4536, 0.7059], [0.2165, 0.9566, 0.3368], [0.1410, 0.7497, 0.5124], [0.6378, 0.3461, 0.3458], [0.9284, 0.2313, 0.9834], [0.5914, 0.0139, 0.2464], [0.9024, 0.1061, 0.1893], [0.6498, 0.1781, 0.0515], [0.9556, 0.4206, 0.3175], [0.4086, 0.9861, 0.7536], [0.0444, 0.5794, 0.6825], [0.1756, 0.3806, 0.6533], [0.1668, 0.1287, 0.1004], [0.8927, 0.8249, 0.1625], [0.7680, 0.5246, 0.8299], [0.4581, 0.7754, 0.4317], [0.3730, 0.1815, 0.9813], [0.4382, 0.6867, 0.1302], [0.8244, 0.6194, 0.3467], [0.6270, 0.8185, 0.0187], [0.2540, 0.3551, 0.4092], [0.1073, 0.1751, 0.8375], [0.0976, 0.8939, 0.8107], [0.5419, 0.2246, 0.5683], [0.0716, 0.7687, 0.0166]]}

=====

# 10
{"formula": "Ni2P5O15", "functional": "meta-GGA SCAN", "state": "single point on PBEsol structure", "e_form_raw_ev_per_atom": -2.107, "magmom_total_mub_per_cell": 10.02, "lattice": [[-4.9100, 0.6344, 1.5849], [-2.0078, -6.8465, -3.4798], [3.8844, -6.3245, 10.2023]], "species": ["Ni", "Ni", "Ni", "Ni", "P", "P", "P", "P", "P", "P", "P", "P", "P", "P", "O", "O", "O", "O", "O", "O", "O", "O", "O", "O", "O", "O", "O", "O", "O", "O", "O", "O", "O", "O", "O", "O", "O", "O", "O", "O", "O", "O", "O", "O"], "frac_coords": [[0.8936, 0.7023, 0.9710], [0.1064, 0.2977, 0.0290], [0.6064, 0.7023, 0.5290], [0.3936, 0.2977, 0.4710], [0.4594, 0.8271, 0.1032], [0.3495, 0.5141, 0.8607], [0.8495, 0.4859, 0.3607], [0.7500, 0.9214, 0.7500], [0.9594, 0.1729, 0.6032], [0.0406, 0.8271, 0.3968], [0.6505, 0.4859, 0.1393], [0.1505, 0.5141, 0.6393], [0.2500, 0.0786, 0.2500], [0.5406, 0.1729, 0.8968], [0.5331, 0.6591, 0.1740], [0.5900, 0.8280, 0.6630], [0.1985, 0.8031, 0.0447], [0.9478, 0.6241, 0.5850], [0.7500, 0.4028, 0.2500], [0.9669, 0.6591, 0.3260], [0.5522, 0.6241, 0.9150], [0.1911, 0.1292, 0.5465], [0.9100, 0.8280, 0.8370], [0.0522, 0.3759, 0.4150], [0.6985, 0.1969, 0.5447], [0.0491, 0.9554, 0.2999], [0.4669, 0.3409, 0.8260], [0.4478, 0.3759, 0.0850], [0.4100, 0.1720, 0.3370], [0.4509, 0.9554, 0.2001], [0.6911, 0.8708, 0.0465], [0.3015, 0.8031, 0.4553], [0.2500, 0.5972, 0.7500], [0.3931, 0.4849, 0.5833], [0.8015, 0.1969, 0.9553], [0.1069, 0.4849, 0.9167], [0.3089, 0.1292, 0.9535], [0.6069, 0.5151, 0.4167], [0.8931, 0.5151, 0.0833], [0.8089, 0.8708, 0.4535], [0.5491, 0.0446, 0.7999], [0.0331, 0.3409, 0.6740], [0.0900, 0.1720, 0.1630], [0.9509, 0.0446, 0.7001]]}

=====

# 11
{"formula": "Ni3P2O8", "functional": "meta-GGA SCAN", "state": "single point on PBEsol structure", "e_form_raw_ev_per_atom": -2.008, "magmom_total_mub_per_cell": 11.97, "lattice": [[-1.5799, -4.0803, 1.5868], [5.1806, -2.3465, -0.8757], [2.5369, 2.6517, 9.3446]], "species": ["Ni", "Ni", "Ni", "Ni", "Ni", "Ni", "P", "P", "P", "P", "O", "O", "O", "O", "O", "O", "O", "O", "O", "O", "O", "O", "O", "O", "O", "O"], "frac_coords": [[0.4875, 0.2454, 0.7729], [0.9875, 0.7546, 0.7271], [0.0125, 0.2454, 0.2729], [0.5125, 0.7546, 0.2271], [0.0000, 0.5000, 0.0000], [0.5000, 0.5000, 0.5000], [0.4234, 0.7502, 0.9056], [0.9234, 0.2498, 0.5944], [0.5766, 0.2498, 0.0944], [0.0766, 0.7502, 0.4056], [0.2630, 0.5306, 0.8371], [0.7630, 0.4694, 0.6629], [0.7370, 0.4694, 0.1629], [0.2370, 0.5306, 0.3371], [0.2979, 0.9530, 0.8264], [0.7979, 0.0470, 0.6736], [0.7021, 0.0470, 0.1736], [0.2021, 0.9530, 0.3264], [0.1929, 0.7436, 0.5502], [0.6929, 0.2564, 0.9498], [0.7479, 0.7343, 0.3994], [0.2479, 0.2657, 0.1006], [0.2521, 0.2657, 0.6006], [0.8071, 0.2564, 0.4498], [0.3071, 0.7436, 0.0502], [0.7521, 0.7343, 0.8994]]}

=====

# 12
{"formula": "NiP3O9", "functional": "meta-GGA SCAN", "state": "single point on PBEsol structure", "e_form_raw_ev_per_atom": -2.101, "relative_energy_mev_per_atom": 9, "magmom_total_mub_per_cell": 4.00, "lattice": [[-1.5162, -4.6824, -0.1601], [10.2469, -3.4648, 4.2925], [-4.6231, 1.0897, 11.9157]], "species": ["Ni", "Ni", "Ni", "Ni", "P", "P", "P", "P", "P", "P", "P", "P", "P", "P", "P", "P", "O", "O", "O", "O", "O", "O", "O", "O", "O", "O", "O", "O", "O", "O", "O", "O", "O", "O", "O", "O", "O", "O", "O", "O", "O", "O", "O", "O", "O", "O", "O", "O", "O", "O", "O", "O"], "frac_coords": [[0.0000, 0.0000, 0.0000], [0.0000, 0.0000, 0.5000], [0.0000, 0.5000, 0.0000], [0.0000, 0.5000, 0.5000], [0.2242, 0.7500, 0.0000], [0.2242, 0.7500, 0.5000], [0.4919, 0.5817, 0.6329], [0.4919, 0.5817, 0.8671], [0.4919, 0.9183, 0.1329], [0.4919, 0.9183, 0.3671], [0.5081, 0.0817, 0.6329], [0.5081, 0.0817, 0.8671], [0.5081, 0.4183, 0.1329], [0.5081, 0.4183, 0.3671], [0.7758, 0.2500, 0.0000], [0.7758, 0.2500, 0.5000], [0.0640, 0.6508, 0.0435], [0.0640, 0.6508, 0.4565], [0.0640, 0.8492, 0.5435], [0.0640, 0.8492, 0.9565], [0.2102, 0.0593, 0.6292], [0.2102, 0.0593, 0.8708], [0.2102, 0.4407, 0.1291], [0.2102, 0.4407, 0.3708], [0.3118, 0.0074, 0.0814], [0.3118, 0.0074, 0.4186], [0.3118, 0.4926, 0.5814], [0.3118, 0.4926, 0.9186], [0.3930, 0.5981, 0.7500], [0.3930, 0.9019, 0.2500], [0.4248, 0.7080, 0.5893], [0.4248, 0.7080, 0.9107], [0.4248, 0.7920, 0.0893], [0.4248, 0.7920, 0.4107], [0.5752, 0.2080, 0.5893], [0.5752, 0.2080, 0.9107], [0.5752, 0.2920, 0.0893], [0.5752, 0.2920, 0.4107], [0.6070, 0.0981, 0.7500], [0.6070, 0.4019, 0.2500], [0.6882, 0.5074, 0.0814], [0.6882, 0.5074, 0.4186], [0.6882, 0.9926, 0.5814], [0.6882, 0.9926, 0.9186], [0.7898, 0.5593, 0.6292], [0.7898, 0.5593, 0.8708], [0.7898, 0.9407, 0.1291], [0.7898, 0.9407, 0.3708], [0.9360, 0.1508, 0.0435], [0.9360, 0.1508, 0.4565], [0.9360, 0.3492, 0.5435], [0.9360, 0.3492, 0.9565]]}

=====

# 13
{"formula": "NiP3O9", "functional": "meta-GGA SCAN", "state": "single point on PBEsol structure", "e_form_raw_ev_per_atom": -2.090, "relative_energy_mev_per_atom": 20, "magmom_total_mub_per_cell": 1.00, "lattice": [[6.1003, 0.0124, 0.0184], [-1.6506, 5.8728, 0.0184], [-1.6506, -2.1831, 5.4520]], "species": ["Ni", "P", "P", "P", "O", "O", "O", "O", "O", "O", "O", "O", "O"], "frac_coords": [[0.9995, 0.9995, 0.9995], [0.4836, 0.0407, 0.9012], [0.0407, 0.9012, 0.4836], [0.9012, 0.4836, 0.0407], [0.3415, 0.0661, 0.0668], [0.3054, 0.9001, 0.6214], [0.0668, 0.3415, 0.0661], [0.0661, 0.0668, 0.3415], [0.6617, 0.9173, 0.9615], [0.9615, 0.6617, 0.9173], [0.6214, 0.3054, 0.9001], [0.9173, 0.9615, 0.6617], [0.9001, 0.6214, 0.3054]]}

=====

# 14
{"formula": "Ni2P2O7", "functional": "meta-GGA SCAN", "state": "single point on PBEsol structure", "e_form_raw_ev_per_atom": -2.093, "relative_energy_mev_per_atom": 8, "magmom_total_mub_per_cell": 3.95, "lattice": [[-4.0392, 1.6816, 0.8120], [-1.2733, -5.0158, 0.3280], [2.1280, 1.0908, 4.6009]], "species": ["Ni", "Ni", "P", "P", "O", "O", "O", "O", "O", "O", "O"], "frac_coords": [[0.5000, 0.3139, 0.6861], [0.5000, 0.6861, 0.3139], [0.0929, 0.7764, 0.7764], [0.9071, 0.2236, 0.2236], [0.0000, 0.0000, 0.0000], [0.7796, 0.6168, 0.6168], [0.2204, 0.3832, 0.3832], [0.7222, 0.3894, 0.0756], [0.2778, 0.9244, 0.6106], [0.2778, 0.6106, 0.9244], [0.7222, 0.0756, 0.3894]]}